# 1
Computed, not measured: an optimized crystal structure of Ho2Ga6FePd at the PBE level of DFT.

The space group is Fm-3m (No. 225) and the conventional cell measures 9.307, 9.307 and 9.307 Å, with angles of 90.00, 90.00 and 90.00 degrees. Symmetry generates all atoms from Ho at (0.250, 0.250, 0.250), Ga at (0.000, 0.000, 0.243), Fe at (0.000, 0.000, 0.000) and Pd at (0.000, 0.000, 0.500).

For the formation energy, the calculation gives -223 kJ/mol of formula units. The calculation puts the density at 7.5 g/cm3.

***

# 2
Computed, not measured: an optimized crystal structure of HoGa2Fe2Si at the PBE level of DFT.

The space group is P4/mmm (No. 123) and the conventional cell measures 4.232, 4.232 and 5.508 Å, with angles of 90.00, 90.00 and 90.00 degrees. Symmetry generates all atoms from Ho at (0.000, 0.000, 0.000), Ga at (0.500, 0.500, 0.237), Fe at (0.000, 0.500, 0.500) and Si at (0.000, 0.000, 0.500).

The calculation puts the raw formation energy at -242 meV per atom. The calculation puts the density at 7.5 g/cm3.

***

# 3
Computed, not measured: an optimized crystal structure of TbHoGaFe at the PBE level of DFT.

The space group is F-43m (No. 216) and the conventional cell measures 6.984, 6.984 and 6.984 Å, with angles of 90.00, 90.00 and 90.00 degrees. Symmetry generates all atoms from Tb at (0.000, 0.000, 0.000), Ho at (0.000, 0.000, 0.500), Ga at (0.250, 0.250, 0.750) and Fe at (0.250, 0.250, 0.250).

For the formation energy, the calculation gives -70 kJ/mol of formula units. The calculation puts the density at 8.8 g/cm3.

***

# 4
Computed, not measured: an optimized crystal structure of Ga3FeI at the PBE level of DFT.

The space group is Pm-3m (No. 221) and the conventional cell measures 4.754, 4.754 and 4.754 Å, with angles of 90.00, 90.00 and 90.00 degrees. Symmetry generates all atoms from Ga at (0.000, 0.000, 0.500), Fe at (0.000, 0.000, 0.000) and I at (0.500, 0.500, 0.500).

The calculation puts the raw formation energy at 111 meV per atom. The calculation puts the density at 6.1 g/cm3.

***

# 5
Computed, not measured: an optimized crystal structure of GaFeI4 at the PBE level of DFT.

The space group is P-42c (No. 112) and the conventional cell measures 6.462, 6.462 and 11.887 Å, with angles of 90.00, 90.00 and 90.00 degrees. Symmetry generates all atoms from Ga at (0.000, 0.500, 0.250), Fe at (0.000, 0.000, 0.000) and I at (0.237, 0.249, 0.383).

The calculation puts the raw formation energy at -216 meV per atom. The calculation puts the density at 4.2 g/cm3.

***

# 6
Computed, not measured: an optimized crystal structure of Ga2FeI at the PBE level of DFT.

The space group is Fm-3m (No. 225) and the conventional cell measures 7.318, 7.318 and 7.318 Å, with angles of 90.00, 90.00 and 90.00 degrees. Symmetry generates all atoms from Ga at (0.250, 0.250, 0.250), Fe at (0.000, 0.000, 0.000) and I at (0.000, 0.000, 0.500).

The calculation puts the raw formation energy at 729 meV per atom. The calculation puts the density at 5.5 g/cm3. Its offset from the most stable computed form is 311 meV per atom.